The following is a DFT calculation (GGA-PBE) of an optimized crystal structure of Ho3Al2Pd7.

Values from the calculation:
- space group = Cmmm (65)
- total magnetization (μB per atom) = 0.0000
- ΔH_f (0 K) (meV per atom) = -872

Cell lengths 13.689, 13.689, 3.986 Å; angles 90.00, 90.00, 162.43 degrees
Atoms (fractional coordinates):
Ho: 0.000 0.000 0.000
Ho: 0.184 0.816 0.000
Ho: 0.816 0.184 0.000
Al: 0.371 0.629 0.500
Al: 0.629 0.371 0.500
Pd: 0.081 0.919 0.500
Pd: 0.281 0.719 0.500
Pd: 0.422 0.578 0.000
Pd: 0.500 0.500 0.500
Pd: 0.578 0.422 0.000
Pd: 0.719 0.281 0.500
Pd: 0.919 0.081 0.500